1.
First-principles (GGA-PBE) data for a relaxed LaTeAs2 crystal, as listed in the Alexandria database.

POSCAR file:
```
LaTeAs2
1.0
2.244 1.295 6.456
-2.244 1.295 6.456
0.000 -2.591 6.456
La Te As
1 1 2
Direct
0.000 0.000 0.000 La
0.500 0.500 0.500 Te
0.249 0.249 0.249 As
0.751 0.751 0.751 As
```

Summary:
- D(E_F): 1.8 states/eV per cell
- Space group: No. 166
- Energy relative to the elements, uncorrected: -41 kJ per mole of atoms

=====

2.
First-principles (GGA-PBE) data for a relaxed Na2TiBeNb crystal, as listed in the Alexandria database.

POSCAR file:
```
Na2TiBeNb
1.0
4.835 0.000 0.000
0.000 4.835 0.000
0.000 0.000 4.456
Na Ti Be Nb
2 1 1 1
Direct
0.000 0.500 0.000 Na
0.500 0.000 0.000 Na
0.000 0.000 0.000 Ti
0.000 0.000 0.500 Be
0.500 0.500 0.500 Nb
```

Summary:
- D(E_F): 4.1 states/eV per cell
- Space group: No. 123
- DFT formation energy: 1.885 eV/atom

=====

3.
First-principles (GGA-PBE) data for a relaxed BeRu crystal, as listed in the Alexandria database.

POSCAR file:
```
BeRu
1.0
7.913 0.000 0.000
0.000 6.980 0.000
0.000 0.000 4.754
Be Ru
12 12
Direct
0.068 0.250 0.000 Be
0.068 0.250 0.500 Be
0.138 0.634 0.250 Be
0.138 0.866 0.750 Be
0.415 0.050 0.250 Be
0.415 0.450 0.750 Be
0.585 0.550 0.250 Be
0.585 0.950 0.750 Be
0.862 0.134 0.250 Be
0.862 0.366 0.750 Be
0.932 0.750 0.000 Be
0.932 0.750 0.500 Be
0.124 0.525 0.750 Ru
0.124 0.975 0.250 Ru
0.310 0.127 0.750 Ru
0.310 0.373 0.250 Ru
0.384 0.750 0.000 Ru
0.384 0.750 0.500 Ru
0.616 0.250 0.000 Ru
0.616 0.250 0.500 Ru
0.690 0.627 0.750 Ru
0.690 0.873 0.250 Ru
0.876 0.025 0.750 Ru
0.876 0.475 0.250 Ru
```

Summary:
- D(E_F): 19.6 states/eV per cell
- Space group: No. 57
- DFT formation energy: -0.190 eV/atom

=====

4.
First-principles (GGA-PBE) data for a relaxed CaY2Mg crystal, as listed in the Alexandria database.

POSCAR file:
```
CaY2Mg
1.0
-4.451 4.451 3.298
4.451 -4.451 3.298
4.451 4.451 -3.298
Ca Y Mg
2 4 2
Direct
0.000 0.000 0.000 Ca
0.750 0.250 0.500 Ca
0.156 0.125 0.531 Y
0.375 0.844 0.969 Y
0.594 0.625 0.469 Y
0.875 0.406 0.031 Y
0.250 0.750 0.500 Mg
0.500 0.500 0.000 Mg
```

Summary:
- D(E_F): 8.2 states/eV per cell
- Space group: No. 122
- DFT formation energy: 0.323 eV/atom